(a)
Density functional theory data (PBE-GGA) for crystalline Tl2PC2 at its relaxed geometry.

The magnetization comes out at 0.0 Bohr magnetons per cell. Its crystal system is tetragonal.

It has space group P4/mbm (No. 127), with a = 5.619 Å, b = 5.619 Å, c = 5.523 Å, α = 90.00°, β = 90.00° and γ = 90.00°. The distinct sites, in fractional coordinates, are Tl at (0.190, 0.310, 0.000), P at (0.000, 0.000, 0.500) and C at (0.242, 0.258, 0.500).

***

(b)
Density functional theory data (PBE-GGA) for crystalline Tl2PC2 at its relaxed geometry.

The magnetization comes out at 0.0 Bohr magnetons per cell. Its crystal system is tetragonal.

It has space group I4/mmm (No. 139), with a = 5.784 Å, b = 5.784 Å, c = 5.927 Å, α = 90.00°, β = 90.00° and γ = 90.00°. The distinct sites, in fractional coordinates, are Tl at (0.000, 0.500, 0.250), P at (0.000, 0.000, 0.000) and C at (0.000, 0.000, 0.392).

***

Most stable: (b). Least stable: (a).

***

(a)
Density functional theory data (PBE-GGA) for crystalline UPC at its relaxed geometry.

The magnetization comes out at 0.0 Bohr magnetons per cell. Its crystal system is hexagonal.

It has space group P-6m2 (No. 187), with a = 3.8181 Å, b = 3.8181 Å, c = 3.8207 Å, α = 90.00°, β = 90.00° and γ = 120.00°. The distinct sites, in fractional coordinates, are U at (0.0000, 0.0000, 0.0000), P at (0.6667, 0.3333, 0.5000) and C at (0.3333, 0.6667, 0.0000).

***

(b)
Density functional theory data (PBE-GGA) for crystalline UPC at its relaxed geometry.

The magnetization comes out at 0.5 Bohr magnetons per cell. Its crystal system is tetragonal.

It has space group I4mm (No. 107), with a = 3.022 Å, b = 3.022 Å, c = 10.325 Å, α = 90.00°, β = 90.00° and γ = 90.00°. The distinct sites, in fractional coordinates, are U at (0.000, 0.000, 0.000), P at (0.000, 0.000, 0.283) and C at (0.000, 0.000, 0.580).

***

Most stable: (a). Least stable: (b).

***

(a)
Density functional theory data (PBE-GGA) for crystalline VPC3 at its relaxed geometry.

The magnetization comes out at 1.9 Bohr magnetons per cell. Its crystal system is cubic.

It has space group Pm-3m (No. 221), with a = 3.602 Å, b = 3.602 Å, c = 3.602 Å, α = 90.00°, β = 90.00° and γ = 90.00°. The distinct sites, in fractional coordinates, are V at (0.000, 0.000, 0.000), P at (0.500, 0.500, 0.500) and C at (0.000, 0.500, 0.500).

***

(b)
Density functional theory data (PBE-GGA) for crystalline VPC3 at its relaxed geometry.

The magnetization comes out at 0.0 Bohr magnetons per cell. Its crystal system is cubic.

It has space group Pm-3m (No. 221), with a = 3.930 Å, b = 3.930 Å, c = 3.930 Å, α = 90.00°, β = 90.00° and γ = 90.00°. The distinct sites, in fractional coordinates, are V at (0.000, 0.000, 0.000), P at (0.500, 0.500, 0.500) and C at (0.000, 0.000, 0.500).

***

Most stable: (a). Least stable: (b).

***

(a)
Density functional theory data (PBE-GGA) for crystalline P3WC at its relaxed geometry.

The magnetization comes out at 0.0 Bohr magnetons per cell. Its crystal system is cubic.

It has space group Pm-3m (No. 221), with a = 3.964 Å, b = 3.964 Å, c = 3.964 Å, α = 90.00°, β = 90.00° and γ = 90.00°. The distinct sites, in fractional coordinates, are P at (0.000, 0.000, 0.500), W at (0.500, 0.500, 0.500) and C at (0.000, 0.000, 0.000).

***

(b)
Density functional theory data (PBE-GGA) for crystalline P3WC at its relaxed geometry.

The magnetization comes out at 1.4 Bohr magnetons per cell. Its crystal system is cubic.

It has space group Pm-3m (No. 221), with a = 4.677 Å, b = 4.677 Å, c = 4.677 Å, α = 90.00°, β = 90.00° and γ = 90.00°. The distinct sites, in fractional coordinates, are P at (0.000, 0.000, 0.500), W at (0.000, 0.000, 0.000) and C at (0.500, 0.500, 0.500).

***

Most stable: (a). Least stable: (b).

***

(a)
Density functional theory data (PBE-GGA) for crystalline PW2C at its relaxed geometry.

The magnetization comes out at 0.0 Bohr magnetons per cell. Its crystal system is cubic.

It has space group Fm-3m (No. 225), with a = 5.801 Å, b = 5.801 Å, c = 5.801 Å, α = 90.00°, β = 90.00° and γ = 90.00°. The distinct sites, in fractional coordinates, are P at (0.000, 0.000, 0.000), W at (0.250, 0.250, 0.250) and C at (0.000, 0.000, 0.500).

***

(b)
Density functional theory data (PBE-GGA) for crystalline PW2C at its relaxed geometry.

The magnetization comes out at 0.0 Bohr magnetons per cell. Its crystal system is tetragonal.

It has space group I-42d (No. 122), with a = 4.939 Å, b = 4.939 Å, c = 10.583 Å, α = 90.00°, β = 90.00° and γ = 90.00°. The distinct sites, in fractional coordinates, are P at (0.000, 0.000, 0.000), W at (0.189, 0.250, 0.625) and C at (0.000, 0.000, 0.500).

***

Most stable: (b). Least stable: (a).

***

(a)
Density functional theory data (PBE-GGA) for crystalline YPC3 at its relaxed geometry.

The magnetization comes out at 0.0 Bohr magnetons per cell. Its crystal system is cubic.

It has space group Pm-3m (No. 221), with a = 3.746 Å, b = 3.746 Å, c = 3.746 Å, α = 90.00°, β = 90.00° and γ = 90.00°. The distinct sites, in fractional coordinates, are Y at (0.000, 0.000, 0.000), P at (0.500, 0.500, 0.500) and C at (0.000, 0.500, 0.500).

***

(b)
Density functional theory data (PBE-GGA) for crystalline YPC3 at its relaxed geometry.

The magnetization comes out at 0.0 Bohr magnetons per cell. Its crystal system is cubic.

It has space group Pm-3m (No. 221), with a = 4.498 Å, b = 4.498 Å, c = 4.498 Å, α = 90.00°, β = 90.00° and γ = 90.00°. The distinct sites, in fractional coordinates, are Y at (0.000, 0.000, 0.000), P at (0.500, 0.500, 0.500) and C at (0.000, 0.000, 0.500).

***

Most stable: (a). Least stable: (b).